Entry from Alexandria: crystalline ZnTcAu2 at its relaxed geometry (PBE).

Summary:
* E_tot: -4.2566 eV per atom
* space-group type: No. 47
* mass density: 14.12 g/cm3
* energy of formation: 0.2921 eV per atom
* magnetic moment: 0.2752 μB/atom

Structure (POSCAR):
```
ZnTcAu2
1.0
3.1852 0.0000 0.0000
0.0000 4.4776 0.0000
0.0000 0.0000 4.5950
Zn Tc Au
1 1 2
direct
0.0000 0.0000 0.0000
0.5000 0.5000 0.0000
0.0000 0.5000 0.5000
0.5000 0.0000 0.5000
```